A relaxed SrLa2ThP4 crystal, computed with PBE.

Crystal system: monoclinic
Calculated volume in Å³/f.u.: 219.7
Spin magnetization in μB/f.u.: 0.00
Energy of formation from the pure elements in meV per atom: -1451
E_tot in eV/atom: -6.526

extended XYZ file:
```
8
Lattice="-3.0788 -2.8190 0.8979 5.0731 -5.2914 0.7831 2.2345 -0.1982 7.0398" Properties=species:S:1:pos:R:3 pbc="T T T"
P 5.4605 -4.1268 5.7673
Th 3.6538 -2.7447 3.9115
La -0.4222 -1.5086 3.9689
P -1.2316 -4.1818 2.9535
La 2.2345 -0.1982 7.0398
P 2.8224 -5.4017 2.8720
P 1.4064 -2.9069 5.8488
Sr 3.2317 -4.2534 7.8803
```